Material: ScMnCl2
Method: DFT, GGA-PBE
State: relaxed

Lattice parameters (Å, degrees): 3.1417 3.1417 10.0868 90.00 90.00 90.00
With the nearest neighbours (Å) after each atom.
Space group P4/mmm (No. 123)
Symmetry-distinct sites (fractional):
Sc1 0.0000 0.0000 0.0000  8 Cl 2.70
Mn1 0.0000 0.0000 0.5000  4 Mn 3.14
Cl1 0.5000 0.5000 0.1525  4 Sc 2.70

## Properties
Crystal system = tetragonal
DFT total energy = -5.468 eV/atom

---

Material: TlPAuO
Method: DFT, GGA-PBE
State: relaxed

Lattice parameters (Å, degrees): 9.7458 4.5563 5.6215 90.00 114.56 90.00
With the nearest neighbours (Å) after each atom.
Space group Cm (No. 8)
Symmetry-distinct sites (fractional):
Tl1 0.0000 0.0000 0.0000  2 O 2.63, 1 Au 2.94
P1 0.1659 0.5000 0.6848  1 O 1.57
Au1 0.1574 0.0000 0.5731  2 P 2.36
O1 0.0994 0.5000 0.8967  1 P 1.57

## Properties
Crystal system = monoclinic
DFT total energy = -4.464 eV/atom

---

These records have distance to the lowest polymorph of the same formula values of 243.7 111.3 meV/atom, in the order they appear.
These records have ΔE_f (raw) values of -0.67 -0.46 eV per atom, in the order they appear.
These records have total moment values of 4.78 0.00 μB per formula unit, in the order they appear.